# 1
Here is a relaxed structure of LaNdI2 from the Alexandria database. Energies are from GGA-PBE.

```
4
Lattice="-1.993 -1.662 2.964 2.939 -4.668 -0.641 3.783 1.886 3.601" Properties=species:S:1:pos:R:3 pbc="T T T"
I 1.891 0.943 1.801
I 1.469 -2.334 -0.321
Nd -0.997 -0.831 1.482
La 2.364 -2.222 2.962
```

- density of states at the Fermi level (states/eV/f.u.) = 2.20
- theoretical density (Mg/m³) = 7.34
- distance to the lowest polymorph of the same formula (meV per atom) = 71


# 2
Here is a relaxed structure of NaPr2Te6Pb3 from the Alexandria database. Energies are from GGA-PBE.

```
12
Lattice="4.548 0.000 0.000 0.000 9.334 0.247 -2.274 -2.785 9.721" Properties=species:S:1:pos:R:3 pbc="T T T"
Na 2.274 0.000 0.000
Pr 2.274 4.276 6.642
Pr 0.000 2.273 3.327
Te 0.000 6.590 6.581
Te 2.274 4.572 3.423
Te 2.274 -0.041 3.388
Te 0.000 2.323 0.153
Te 2.274 4.226 9.816
Te 0.000 1.977 6.545
Pb 2.274 4.667 0.124
Pb 2.274 -0.488 6.672
Pb 0.000 7.037 3.297
```

- density of states at the Fermi level (states/eV/f.u.) = 4.38
- theoretical density (Mg/m³) = 6.76


Number 1: uncorrected energy -16.283 eV/cell. Number 2: uncorrected energy -50.823 eV/cell.